# 1
Density functional theory data (PBE) for an optimized crystal structure of MgAgC2O6.

Geometry as POSCAR:
```
MgAgC2O6
1.0
2.438 1.408 5.299
-2.438 1.408 5.299
0.000 -2.816 5.299
Mg Ag C O
1 1 2 6
direct
0.000 0.000 0.000 Mg
0.500 0.500 0.500 Ag
0.256 0.256 0.256 C
0.744 0.744 0.744 C
0.009 0.536 0.221 O
0.221 0.009 0.536 O
0.464 0.779 0.991 O
0.536 0.221 0.009 O
0.779 0.991 0.464 O
0.991 0.464 0.779 O
```

Results
As for the formation energy from raw total energies: -1.407 eV per atom. The total energy is -6.6717 eV per atom. Its calculated density is 3.837 g cm⁻³.

---

# 2
Density functional theory data (PBE) for an optimized crystal structure of MgAgRh2C.

Geometry as POSCAR:
```
MgAgRh2C
1.0
4.023 0.000 0.000
0.000 4.023 0.000
0.000 0.000 4.432
Mg Ag Rh C
1 1 2 1
direct
0.000 0.000 0.000 Mg
0.500 0.500 0.000 Ag
0.000 0.500 0.500 Rh
0.500 0.000 0.500 Rh
0.000 0.000 0.500 C
```

Results
The calculated formation energy is -42 meV/atom. The total energy is -5.7168 eV per atom. Its calculated density is 8.104 g cm⁻³.

---

# 3
Density functional theory data (PBE) for an optimized crystal structure of MgAgSn2C.

Geometry as POSCAR:
```
MgAgSn2C
1.0
5.377 0.000 0.000
0.000 5.377 0.000
0.000 0.000 4.938
Mg Ag Sn C
1 1 2 1
direct
0.000 0.000 0.000 Mg
0.000 0.000 0.500 Ag
0.000 0.500 0.000 Sn
0.500 0.000 0.000 Sn
0.500 0.500 0.500 C
```

Results
The calculated formation energy is 1786 meV/atom. The total energy is -2.5493 eV per atom. Its calculated density is 4.439 g cm⁻³.

---

# 4
Density functional theory data (PBE) for an optimized crystal structure of SrMgAgC2.

Geometry as POSCAR:
```
SrMgAgC2
1.0
4.317 0.000 0.000
0.000 4.317 0.000
0.000 0.000 5.488
Sr Mg Ag C
1 1 1 2
direct
0.000 0.000 0.000 Sr
0.000 0.000 0.500 Mg
0.500 0.500 0.000 Ag
0.000 0.500 0.500 C
0.500 0.000 0.500 C
```

Results
The calculated formation energy is 1942 meV/atom. The total energy is -2.9727 eV per atom. Its calculated density is 3.959 g cm⁻³.

---

# 5
Density functional theory data (PBE) for an optimized crystal structure of MgTc2AgC.

Geometry as POSCAR:
```
MgTc2AgC
1.0
4.074 0.000 0.000
0.000 4.074 0.000
0.000 0.000 4.472
Mg Tc Ag C
1 2 1 1
direct
0.000 0.000 0.000 Mg
0.000 0.500 0.500 Tc
0.500 0.000 0.500 Tc
0.500 0.500 0.000 Ag
0.500 0.500 0.500 C
```

Results
The calculated formation energy is 383 meV/atom. The total energy is -6.4971 eV per atom. Its calculated density is 7.611 g cm⁻³.

---

# 6
Density functional theory data (PBE) for an optimized crystal structure of MgTcAgC2.

Geometry as POSCAR:
```
MgTcAgC2
1.0
4.091 0.000 0.000
0.000 4.091 0.000
0.000 0.000 4.858
Mg Tc Ag C
1 1 1 2
direct
0.000 0.000 0.000 Mg
0.500 0.500 0.000 Tc
0.000 0.000 0.500 Ag
0.000 0.500 0.500 C
0.500 0.000 0.500 C
```

Results
The calculated formation energy is 2628 meV/atom. The total energy is -4.0244 eV per atom. Its calculated density is 5.193 g cm⁻³.

---

# 7
Density functional theory data (PBE) for an optimized crystal structure of Y2MgAgC.

Geometry as POSCAR:
```
Y2MgAgC
1.0
4.949 0.000 0.000
0.000 4.949 0.000
0.000 0.000 4.340
Y Mg Ag C
2 1 1 1
direct
0.000 0.500 0.000 Y
0.500 0.000 0.000 Y
0.000 0.000 0.500 Mg
0.500 0.500 0.500 Ag
0.000 0.000 0.000 C
```

Results
The calculated formation energy is -190 meV/atom. The total energy is -5.5095 eV per atom. Its calculated density is 5.031 g cm⁻³.

---

# 8
Density functional theory data (PBE) for an optimized crystal structure of YMg2AgC.

Geometry as POSCAR:
```
YMg2AgC
1.0
4.427 0.000 0.000
0.000 4.427 0.000
0.000 0.000 4.921
Y Mg Ag C
1 2 1 1
direct
0.000 0.000 0.000 Y
0.000 0.500 0.500 Mg
0.500 0.000 0.500 Mg
0.500 0.500 0.000 Ag
0.000 0.000 0.500 C
```

Results
The calculated formation energy is -50 meV/atom. The total energy is -4.3960 eV per atom. Its calculated density is 4.431 g cm⁻³.